An optimized crystal structure of LiTcHg2. Source: the Alexandria database, functional GGA-PBE.

Structure (POSCAR):
```
LiTcHg2
1.0
1.482 0.856 9.450
-1.482 0.856 9.450
0.000 -1.712 9.450
Li Tc Hg
1 1 2
Cartesian
0.000 0.000 0.000 Li
0.000 0.000 14.175 Tc
0.000 0.000 7.119 Hg
0.000 0.000 21.231 Hg
```

Summary:
- total moment (μB/atom) = 0.000
- final energy (eV/atom) = -2.9304